A plane-wave DFT calculation with SCAN was carried out for a crystal of SrRu2Se relaxed with PBEsol.

Unit cell a=3.092 b=4.921 c=9.456 alpha=90.00 beta=90.00 gamma=90.00
Space group Imm2 (No. 44)
Unique sites:
1 Sr 0.000 0.000 0.000 [2 per cell]
2 Ru 0.000 0.000 0.516 [2 per cell]
3 Ru 0.000 0.500 0.788 [2 per cell]
4 Se 0.000 0.500 0.222 [2 per cell]

Output
E: -27.625 eV per atom
Formation energy (no corrections): 0.3768 eV/atom
D(E_F): 6.82 states/eV/cell